# 1
First-principles (GGA+U) data for a relaxed structure of FeCuF, as listed in Alexandria via LeMat-Bulk.

a b c (Å): 2.957 3.923 6.790
angles (deg): 90.38 90.46 90.14
Sites, in units of the cell vectors:
Fe 0.000 0.000 0.000
Fe 0.498 0.496 0.616
Cu 0.500 0.997 0.317
Cu 0.998 0.497 0.299
F 0.498 0.998 0.751
F 0.999 0.498 0.864

- Total energy: -4.711 eV per atom
- Space group: P1
- Magnetic moment: 3.9 μB/f.u.
- Polymorph energy (0 for the lowest one): 0 meV/atom

# 2
First-principles (GGA+U) data for a relaxed structure of Ac2TlMoO5, as listed in Alexandria via LeMat-Bulk.

a b c (Å): 7.369 7.369 5.946
angles (deg): 90.00 90.00 90.00
Sites, in units of the cell vectors:
Ac 0.182 0.318 0.000
Ac 0.318 0.818 0.000
Ac 0.682 0.182 0.000
Ac 0.818 0.682 0.000
Tl 0.000 0.000 0.500
Tl 0.500 0.500 0.500
Mo 0.000 0.500 0.500
Mo 0.500 0.000 0.500
O 0.000 0.000 0.000
O 0.129 0.629 0.255
O 0.129 0.629 0.745
O 0.371 0.129 0.255
O 0.371 0.129 0.745
O 0.500 0.500 0.000
O 0.629 0.871 0.255
O 0.629 0.871 0.745
O 0.871 0.371 0.255
O 0.871 0.371 0.745

- Total energy: -6.960 eV per atom
- Space group: P4/mbm
- Magnetic moment: 1.0 μB/f.u.